Record 1
First-principles (PBEsol) data for crystalline USbRu at its relaxed geometry, as listed in Alexandria.

a b c (Å): 7.2609 7.2609 3.9236
angles (deg): 90.00 90.00 120.00
Fractional coordinates of all 9 atoms:
U 0.0000 0.5891 0.0000
U 0.4109 0.4109 0.0000
U 0.5891 0.0000 0.0000
Sb 0.0000 0.2588 0.5000
Sb 0.2588 0.0000 0.5000
Sb 0.7412 0.7412 0.5000
Ru 0.0000 0.0000 0.0000
Ru 0.3333 0.6667 0.5000
Ru 0.6667 0.3333 0.5000

Values from the calculation:
The uncorrected formation energy comes out at -0.23 eV per atom. For the magnetic moment, the calculation gives 6.23 Bohr magnetons per cell. The calculation puts the mass density at 12.8 g cm⁻³.


Record 2
First-principles (PBEsol) data for crystalline InHRh3 at its relaxed geometry, as listed in Alexandria.

a b c (Å): 3.9431 3.9431 3.9431
angles (deg): 90.00 90.00 90.00
Fractional coordinates of all 5 atoms:
In 0.0000 0.0000 0.0000
H 0.5000 0.5000 0.5000
Rh 0.0000 0.5000 0.5000
Rh 0.5000 0.0000 0.5000
Rh 0.5000 0.5000 0.0000

Values from the calculation:
The calculation puts the uncorrected energy at -6.356 eV/atom. For the magnetic moment, the calculation gives 0.00 Bohr magnetons per cell. The calculation puts the mass density at 11.5 g cm⁻³.


Record 3
First-principles (PBEsol) data for crystalline MoRuW2 at its relaxed geometry, as listed in Alexandria.

a b c (Å): 9.4190 9.4190 9.4190
angles (deg): 16.79 16.79 16.79
Fractional coordinates of all 4 atoms:
Mo 0.0000 0.0000 0.0000
Ru 0.7450 0.7450 0.7450
W 0.2456 0.2456 0.2456
W 0.4908 0.4908 0.4908

Values from the calculation:
For the magnetic moment, the calculation gives 0.00 Bohr magnetons per cell. The formation energy is 27.4 kJ/mol of atoms. The calculation puts the mass density at 15.4 g cm⁻³.


Record 4
First-principles (PBEsol) data for crystalline SiSb2Se at its relaxed geometry, as listed in Alexandria.

a b c (Å): 4.9973 4.9973 4.9973
angles (deg): 110.10 110.10 108.23
Fractional coordinates of all 4 atoms:
Si 0.0000 0.0000 0.0000
Sb 0.0000 0.5000 0.5000
Sb 0.5000 0.0000 0.5000
Se 0.5000 0.5000 0.0000

Values from the calculation:
The uncorrected formation energy comes out at 0.12 eV per atom. For the magnetic moment, the calculation gives 0.00 Bohr magnetons per cell. The calculation puts the mass density at 6.1 g cm⁻³.


Record 5
First-principles (PBEsol) data for crystalline TaCrP2 at its relaxed geometry, as listed in Alexandria.

a b c (Å): 3.0793 3.4608 5.2906
angles (deg): 90.00 90.00 90.00
Fractional coordinates of all 4 atoms:
Ta 0.0000 0.0000 0.0000
Cr 0.5000 0.0000 0.5000
P 0.5000 0.5000 0.2274
P 0.5000 0.5000 0.7726

Values from the calculation:
For the magnetic moment, the calculation gives 1.48 Bohr magnetons per cell. The formation energy is -27.9 kJ/mol of atoms. The calculation puts the mass density at 8.7 g cm⁻³.


Record 6
First-principles (PBEsol) data for crystalline CsCdMoF2 at its relaxed geometry, as listed in Alexandria.

a b c (Å): 4.9814 4.9814 6.4150
angles (deg): 90.00 90.00 90.00
Fractional coordinates of all 5 atoms:
Cs 0.0000 0.0000 0.0000
Cd 0.0000 0.0000 0.5000
Mo 0.5000 0.5000 0.5000
F 0.0000 0.5000 0.0000
F 0.5000 0.0000 0.0000

Values from the calculation:
The uncorrected formation energy comes out at 0.24 eV per atom. For the magnetic moment, the calculation gives 5.71 Bohr magnetons per cell. The calculation puts the mass density at 4.0 g cm⁻³.


Record 7
First-principles (PBEsol) data for crystalline Li3TeRh at its relaxed geometry, as listed in Alexandria.

a b c (Å): 4.5357 4.5357 4.5357
angles (deg): 90.00 90.00 90.00
Fractional coordinates of all 5 atoms:
Li 0.0000 0.0000 0.5000
Li 0.0000 0.5000 0.0000
Li 0.5000 0.0000 0.0000
Te 0.5000 0.5000 0.5000
Rh 0.0000 0.0000 0.0000

Values from the calculation:
The uncorrected formation energy comes out at 0.18 eV per atom. For the magnetic moment, the calculation gives 0.55 Bohr magnetons per cell. The calculation puts the mass density at 4.5 g cm⁻³.


Record 8
First-principles (PBEsol) data for crystalline KCrSn2 at its relaxed geometry, as listed in Alexandria.

a b c (Å): 5.1088 5.1088 5.1088
angles (deg): 60.00 60.00 60.00
Fractional coordinates of all 4 atoms:
K 0.0000 0.0000 0.0000
Cr 0.5000 0.5000 0.5000
Sn 0.2500 0.2500 0.2500
Sn 0.7500 0.7500 0.7500

Values from the calculation:
For the magnetic moment, the calculation gives 3.93 Bohr magnetons per cell. The formation energy is 37.4 kJ/mol of atoms. The calculation puts the mass density at 5.8 g cm⁻³.


Record 9
First-principles (PBEsol) data for crystalline Li3Zn at its relaxed geometry, as listed in Alexandria.

a b c (Å): 4.7288 4.7288 2.9135
angles (deg): 90.00 90.00 104.10
Fractional coordinates of all 4 atoms:
Li 0.0000 0.0000 0.0000
Li 0.0000 0.5000 0.5000
Li 0.5000 0.0000 0.5000
Zn 0.5000 0.5000 0.0000

Values from the calculation:
For the magnetic moment, the calculation gives 0.00 Bohr magnetons per cell. The formation energy is -5.8 kJ/mol of atoms. The calculation puts the mass density at 2.3 g cm⁻³.


Record 10
First-principles (PBEsol) data for crystalline Y2O3 at its relaxed geometry, as listed in Alexandria.

a b c (Å): 5.9831 5.9831 5.9831
angles (deg): 57.45 57.45 57.45
Fractional coordinates of all 10 atoms:
Y 0.1413 0.1413 0.1413
Y 0.3587 0.3587 0.3587
Y 0.6413 0.6413 0.6413
Y 0.8587 0.8587 0.8587
O 0.0418 0.7500 0.4582
O 0.2500 0.5418 0.9582
O 0.4582 0.0418 0.7500
O 0.5418 0.9582 0.2500
O 0.7500 0.4582 0.0418
O 0.9582 0.2500 0.5418

Values from the calculation:
The uncorrected formation energy comes out at -3.58 eV per atom. For the magnetic moment, the calculation gives 0.00 Bohr magnetons per cell. The calculation puts the mass density at 5.3 g cm⁻³.


Record 11
First-principles (PBEsol) data for crystalline CaY2P at its relaxed geometry, as listed in Alexandria.

a b c (Å): 4.6353 4.6353 4.3414
angles (deg): 90.00 90.00 90.00
Fractional coordinates of all 4 atoms:
Ca 0.0000 0.0000 0.0000
Y 0.0000 0.5000 0.5000
Y 0.5000 0.0000 0.5000
P 0.5000 0.5000 0.0000

Values from the calculation:
For the magnetic moment, the calculation gives 0.00 Bohr magnetons per cell. The formation energy is -29.8 kJ/mol of atoms. The calculation puts the mass density at 4.4 g cm⁻³.


Record 12
First-principles (PBEsol) data for crystalline YZn2Pd2 at its relaxed geometry, as listed in Alexandria.

a b c (Å): 6.6699 6.6699 6.6699
angles (deg): 146.98 146.98 47.39
Fractional coordinates of all 5 atoms:
Y 0.0000 0.0000 0.0000
Zn 0.2500 0.7500 0.5000
Zn 0.7500 0.2500 0.5000
Pd 0.3913 0.3913 0.0000
Pd 0.6087 0.6087 0.0000

Values from the calculation:
For the magnetic moment, the calculation gives 0.00 Bohr magnetons per cell. The formation energy is -59.1 kJ/mol of atoms. The calculation puts the mass density at 8.2 g cm⁻³.


Record 13
First-principles (PBEsol) data for crystalline YPbBr2 at its relaxed geometry, as listed in Alexandria.

a b c (Å): 5.3261 5.6826 5.6826
angles (deg): 38.76 90.00 90.00
Fractional coordinates of all 4 atoms:
Y 0.0000 0.0000 0.0000
Pb 0.5000 0.6012 0.6012
Br 0.0000 0.2964 0.2964
Br 0.5000 0.8749 0.8749

Values from the calculation:
The uncorrected formation energy comes out at -1.01 eV per atom. For the magnetic moment, the calculation gives 0.00 Bohr magnetons per cell. The calculation puts the mass density at 7.0 g cm⁻³.


Record 14
First-principles (PBEsol) data for crystalline BaTeSeN2 at its relaxed geometry, as listed in Alexandria.

a b c (Å): 4.4048 4.4048 7.2782
angles (deg): 90.00 90.00 90.00
Fractional coordinates of all 5 atoms:
Ba 0.0000 0.0000 0.0000
Te 0.0000 0.0000 0.5000
Se 0.5000 0.5000 0.5000
N 0.0000 0.5000 0.0000
N 0.5000 0.0000 0.0000

Values from the calculation:
The uncorrected formation energy comes out at 1.58 eV per atom. For the magnetic moment, the calculation gives 2.29 Bohr magnetons per cell. The calculation puts the mass density at 4.4 g cm⁻³.


Record 15
First-principles (PBEsol) data for crystalline AlBMo2S at its relaxed geometry, as listed in Alexandria.

a b c (Å): 4.3413 4.3413 3.7048
angles (deg): 90.00 90.00 90.00
Fractional coordinates of all 5 atoms:
Al 0.0000 0.0000 0.0000
B 0.5000 0.5000 0.5000
Mo 0.0000 0.5000 0.5000
Mo 0.5000 0.0000 0.5000
S 0.5000 0.5000 0.0000

Values from the calculation:
The uncorrected formation energy comes out at 0.62 eV per atom. For the magnetic moment, the calculation gives 0.00 Bohr magnetons per cell. The calculation puts the mass density at 6.2 g cm⁻³.


Record 16
First-principles (PBEsol) data for crystalline InReAg at its relaxed geometry, as listed in Alexandria.

a b c (Å): 4.6080 4.6080 2.7571
angles (deg): 90.00 90.00 120.00
Fractional coordinates of all 3 atoms:
In 0.0000 0.0000 0.0000
Re 0.6667 0.3333 0.5000
Ag 0.3333 0.6667 0.0000

Values from the calculation:
For the magnetic moment, the calculation gives 0.00 Bohr magnetons per cell. The formation energy is 64.3 kJ/mol of atoms. The calculation puts the mass density at 13.4 g cm⁻³.


Record 17
First-principles (PBEsol) data for crystalline BePtO2 at its relaxed geometry, as listed in Alexandria.

a b c (Å): 5.9801 5.9801 5.9801
angles (deg): 25.89 25.89 25.89
Fractional coordinates of all 4 atoms:
Be 0.0000 0.0000 0.0000
Pt 0.5000 0.5000 0.5000
O 0.3880 0.3880 0.3880
O 0.6120 0.6120 0.6120

Values from the calculation:
The uncorrected formation energy comes out at -1.33 eV per atom. For the magnetic moment, the calculation gives 0.00 Bohr magnetons per cell. The calculation puts the mass density at 10.9 g cm⁻³.


Record 18
First-principles (PBEsol) data for crystalline LaCo2Ru at its relaxed geometry, as listed in Alexandria.

a b c (Å): 4.6231 4.6231 2.8507
angles (deg): 90.00 90.00 106.32
Fractional coordinates of all 4 atoms:
La 0.0000 0.0000 0.0000
Co 0.0000 0.5000 0.5000
Co 0.5000 0.0000 0.5000
Ru 0.5000 0.5000 0.0000

Values from the calculation:
For the magnetic moment, the calculation gives 0.01 Bohr magnetons per cell. The formation energy is 38.3 kJ/mol of atoms. The calculation puts the mass density at 10.2 g cm⁻³.


Record 19
First-principles (PBEsol) data for crystalline Mg2Sn2Hg at its relaxed geometry, as listed in Alexandria.

a b c (Å): 8.9103 8.9103 3.0703
angles (deg): 90.00 90.00 90.00
Fractional coordinates of all 10 atoms:
Mg 0.1385 0.3615 0.0000
Mg 0.3615 0.8615 0.0000
Mg 0.6385 0.1385 0.0000
Mg 0.8615 0.6385 0.0000
Sn 0.1597 0.6597 0.5000
Sn 0.3403 0.1597 0.5000
Sn 0.6597 0.8403 0.5000
Sn 0.8403 0.3403 0.5000
Hg 0.0000 0.0000 0.5000
Hg 0.5000 0.5000 0.5000

Values from the calculation:
For the magnetic moment, the calculation gives 0.00 Bohr magnetons per cell. The formation energy is -7.5 kJ/mol of atoms. The calculation puts the mass density at 6.6 g cm⁻³.


Record 20
First-principles (PBEsol) data for crystalline ZrAlSi at its relaxed geometry, as listed in Alexandria.

a b c (Å): 3.7834 3.7834 7.0315
angles (deg): 90.00 90.00 90.00
Fractional coordinates of all 6 atoms:
Zr 0.2500 0.2500 0.1644
Zr 0.7500 0.7500 0.8356
Al 0.2500 0.7500 0.5000
Al 0.7500 0.2500 0.5000
Si 0.2500 0.2500 0.7812
Si 0.7500 0.7500 0.2188

Values from the calculation:
The uncorrected formation energy comes out at -0.61 eV per atom. For the magnetic moment, the calculation gives 0.00 Bohr magnetons per cell. The calculation puts the mass density at 4.8 g cm⁻³.